This record from OQMD via LeMat-Bulk describes a geometry-optimized NdYI2O2 structure. The functional is PBE-GGA.

Cell: 4.009 4.009 9.255 Å, 90.00 90.00 90.00°
Sites, in units of the cell vectors:
Y 0.000 0.000 0.880
Nd 0.500 0.500 0.125
I 0.000 0.000 0.332
I 0.500 0.500 0.673
O 0.000 0.500 0.995
O 0.500 0.000 0.995

Values from the calculation:
Its uncorrected energy is -6.7115 eV/atom. For the magnetic moment, the calculation gives 0.00 μB/cell. The volume comes out at 148.7 Å³/f.u.